(1)
BaSbPb: optimized geometry, PBE.

a b c (Å): 7.1844 5.4321 7.2021
angles (deg): 90.00 118.19 90.00
Atoms (fractional coordinates):
Ba: 0.1698 0.2500 0.3576
Ba: 0.8302 0.7500 0.6424
Sb: 0.1936 0.2500 0.8697
Sb: 0.8064 0.7500 0.1303
Pb: 0.3651 0.7500 0.1098
Pb: 0.6349 0.2500 0.8902

The symmetry is No. 11. The total energy comes out at -3.75 eV per atom. The size of the total moment comes out at 0.000 Bohr magnetons per cell. As for the volume: 248 Å³/cell. For the density, the calculation gives 6.3 g/cm3. As for the formation energy (no corrections): -11.61 kcal/mol of atoms. The value obtained for the excess energy over the best structure of this formula in the dataset is 16.0 kJ per mole of atoms. As for the crystal system: monoclinic.


(2)
BaSbPb: optimized geometry, PBE.

a b c (Å): 4.2239 4.2239 12.0969
angles (deg): 90.00 90.00 90.00
Atoms (fractional coordinates):
Ba: 0.0000 0.0000 0.0000
Ba: 0.5000 0.5000 0.5000
Sb: 0.0000 0.0000 0.3073
Sb: 0.5000 0.5000 0.8073
Pb: 0.0000 0.0000 0.7052
Pb: 0.5000 0.5000 0.2052

The symmetry is No. 107. The total energy comes out at -3.73 eV per atom. The size of the total moment comes out at 0.000 Bohr magnetons per cell. As for the volume: 216 Å³/cell. For the density, the calculation gives 7.2 g/cm3. As for the formation energy (no corrections): -11.09 kcal/mol of atoms. The value obtained for the excess energy over the best structure of this formula in the dataset is 18.2 kJ per mole of atoms. As for the crystal system: tetragonal.


(3)
Ba2SbPb2: optimized geometry, PBE.

a b c (Å): 8.5805 8.5805 5.2392
angles (deg): 90.00 90.00 90.00
Atoms (fractional coordinates):
Ba: 0.1764 0.3236 0.0000
Ba: 0.3236 0.8236 0.0000
Ba: 0.6764 0.1764 0.0000
Ba: 0.8236 0.6764 0.0000
Sb: 0.0000 0.0000 0.5000
Sb: 0.5000 0.5000 0.5000
Pb: 0.1281 0.6281 0.5000
Pb: 0.3719 0.1281 0.5000
Pb: 0.6281 0.8719 0.5000
Pb: 0.8719 0.3719 0.5000

The symmetry is No. 127. The total energy comes out at -3.63 eV per atom. The size of the total moment comes out at 0.000 Bohr magnetons per cell. As for the volume: 386 Å³/cell. For the density, the calculation gives 7.0 g/cm3. As for the formation energy (no corrections): -12.83 kcal/mol of atoms. As for the crystal system: tetragonal.


(4)
BaSb3Pb3: optimized geometry, PBE.

a b c (Å): 9.1508 9.1508 9.1508
angles (deg): 61.83 61.83 61.83
Atoms (fractional coordinates):
Ba: 0.1657 0.1657 0.1657
Ba: 0.8343 0.8343 0.8343
Sb: 0.0669 0.4202 0.7645
Sb: 0.2355 0.9331 0.5798
Sb: 0.4202 0.7645 0.0669
Sb: 0.5798 0.2355 0.9331
Sb: 0.7645 0.0669 0.4202
Sb: 0.9331 0.5798 0.2355
Pb: 0.0740 0.7078 0.3840
Pb: 0.2922 0.6160 0.9260
Pb: 0.3840 0.0740 0.7078
Pb: 0.6160 0.9260 0.2922
Pb: 0.7078 0.3840 0.0740
Pb: 0.9260 0.2922 0.6160

The symmetry is No. 148. The total energy comes out at -3.87 eV per atom. The size of the total moment comes out at 0.000 Bohr magnetons per cell. As for the volume: 564 Å³/cell. For the density, the calculation gives 6.6 g/cm3. As for the formation energy (no corrections): -5.55 kcal/mol of atoms. The value obtained for the excess energy over the best structure of this formula in the dataset is 0.0 kJ per mole of atoms. As for the crystal system: trigonal.


(5)
BaSbPb3: optimized geometry, PBE.

a b c (Å): 6.2580 6.2580 6.2580
angles (deg): 90.00 90.00 90.00
Atoms (fractional coordinates):
Ba: 0.0000 0.0000 0.0000
Sb: 0.5000 0.5000 0.5000
Pb: 0.0000 0.0000 0.5000
Pb: 0.0000 0.5000 0.0000
Pb: 0.5000 0.0000 0.0000

The symmetry is No. 221. The total energy comes out at -2.44 eV per atom. The size of the total moment comes out at 0.000 Bohr magnetons per cell. As for the volume: 245 Å³/cell. For the density, the calculation gives 6.0 g/cm3. As for the formation energy (no corrections): 23.04 kcal/mol of atoms. The value obtained for the excess energy over the best structure of this formula in the dataset is 86.7 kJ per mole of atoms. As for the crystal system: cubic.


(6)
BaSbPb: optimized geometry, PBE.

a b c (Å): 4.9655 12.6434 7.0060
angles (deg): 90.00 90.00 90.00
Atoms (fractional coordinates):
Ba: 0.0000 0.1814 0.0000
Ba: 0.0000 0.8186 0.5000
Ba: 0.5000 0.3186 0.5000
Ba: 0.5000 0.6814 0.0000
Sb: 0.0000 0.1171 0.5023
Sb: 0.0000 0.8829 0.0023
Sb: 0.5000 0.3829 0.0023
Sb: 0.5000 0.6171 0.5023
Pb: 0.0000 0.4965 0.2329
Pb: 0.0000 0.5035 0.7329
Pb: 0.5000 0.0035 0.7329
Pb: 0.5000 0.9965 0.2329

The symmetry is No. 36. The total energy comes out at -3.92 eV per atom. The size of the total moment comes out at 0.000 Bohr magnetons per cell. As for the volume: 440 Å³/cell. For the density, the calculation gives 7.0 g/cm3. As for the formation energy (no corrections): -15.44 kcal/mol of atoms. The value obtained for the excess energy over the best structure of this formula in the dataset is 0.0 kJ per mole of atoms. As for the crystal system: orthorhombic.


(7)
BaSbPb: optimized geometry, PBE.

a b c (Å): 5.2262 9.3254 9.5371
angles (deg): 90.00 90.00 90.00
Atoms (fractional coordinates):
Ba: 0.0000 0.0000 0.2423
Ba: 0.0000 0.0000 0.7577
Ba: 0.5000 0.5000 0.2577
Ba: 0.5000 0.5000 0.7423
Sb: 0.0000 0.3357 0.5000
Sb: 0.0000 0.6643 0.5000
Sb: 0.5000 0.1643 0.0000
Sb: 0.5000 0.8357 0.0000
Pb: 0.0000 0.3344 0.0000
Pb: 0.0000 0.6656 0.0000
Pb: 0.5000 0.1656 0.5000
Pb: 0.5000 0.8344 0.5000

The symmetry is No. 71. The total energy comes out at -3.81 eV per atom. The size of the total moment comes out at 0.000 Bohr magnetons per cell. As for the volume: 465 Å³/cell. For the density, the calculation gives 6.7 g/cm3. As for the formation energy (no corrections): -12.96 kcal/mol of atoms. The value obtained for the excess energy over the best structure of this formula in the dataset is 10.4 kJ per mole of atoms. As for the crystal system: orthorhombic.


(8)
BaSb2Pb3: optimized geometry, PBE.

a b c (Å): 9.2576 9.2576 10.7431
angles (deg): 110.89 110.89 30.24
Atoms (fractional coordinates):
Ba: 0.1311 0.1311 0.0430
Ba: 0.8689 0.8689 0.9570
Sb: 0.2199 0.2199 0.8047
Sb: 0.4884 0.4884 0.8215
Sb: 0.5116 0.5116 0.1785
Sb: 0.7801 0.7801 0.1953
Pb: 0.0598 0.0598 0.3877
Pb: 0.3016 0.3016 0.6016
Pb: 0.3895 0.3895 0.3294
Pb: 0.6105 0.6105 0.6706
Pb: 0.6984 0.6984 0.3984
Pb: 0.9402 0.9402 0.6123

The symmetry is No. 12. The total energy comes out at -3.88 eV per atom. The size of the total moment comes out at 0.000 Bohr magnetons per cell. As for the volume: 431 Å³/cell. For the density, the calculation gives 7.7 g/cm3. As for the formation energy (no corrections): -7.61 kcal/mol of atoms. As for the crystal system: monoclinic.


(9)
BaSbPb: optimized geometry, PBE.

a b c (Å): 10.8561 9.6730 7.8033
angles (deg): 75.97 59.82 44.21
Atoms (fractional coordinates):
Ba: 0.0644 0.0644 0.6856
Ba: 0.3144 0.3144 0.9356
Ba: 0.6856 0.6856 0.0644
Ba: 0.9356 0.9356 0.3144
Sb: 0.0443 0.7057 0.7057
Sb: 0.2943 0.9557 0.9557
Sb: 0.7057 0.0443 0.0443
Sb: 0.9557 0.2943 0.2943
Pb: 0.0000 0.5000 0.5000
Pb: 0.5000 0.0000 0.5000
Pb: 0.5000 0.5000 0.0000
Pb: 0.5000 0.5000 0.5000

The symmetry is No. 70. The total energy comes out at -3.69 eV per atom. The size of the total moment comes out at 0.000 Bohr magnetons per cell. As for the volume: 484 Å³/cell. For the density, the calculation gives 6.4 g/cm3. As for the formation energy (no corrections): -10.01 kcal/mol of atoms. The value obtained for the excess energy over the best structure of this formula in the dataset is 22.7 kJ per mole of atoms. As for the crystal system: orthorhombic.


(10)
BaSbPb3: optimized geometry, PBE.

a b c (Å): 5.9600 5.9600 5.9600
angles (deg): 90.00 90.00 90.00
Atoms (fractional coordinates):
Ba: 0.0000 0.0000 0.0000
Sb: 0.5000 0.5000 0.5000
Pb: 0.0000 0.5000 0.5000
Pb: 0.5000 0.0000 0.5000
Pb: 0.5000 0.5000 0.0000

The symmetry is No. 221. The total energy comes out at -3.33 eV per atom. The size of the total moment comes out at 0.000 Bohr magnetons per cell. As for the volume: 212 Å³/cell. For the density, the calculation gives 6.9 g/cm3. As for the formation energy (no corrections): 2.30 kcal/mol of atoms. The value obtained for the excess energy over the best structure of this formula in the dataset is 0.0 kJ per mole of atoms. As for the crystal system: cubic.


(11)
Ba2SbPbSe5: optimized geometry, PBE.

a b c (Å): 9.8899 9.8899 13.3759
angles (deg): 90.00 90.00 153.81
Atoms (fractional coordinates):
Ba: 0.1136 0.8864 0.5000
Ba: 0.1328 0.8672 0.1205
Ba: 0.8672 0.1328 0.6205
Ba: 0.8864 0.1136 0.0000
Sb: 0.2188 0.7812 0.8329
Sb: 0.7812 0.2188 0.3329
Pb: 0.4437 0.5563 0.2689
Pb: 0.5563 0.4437 0.7689
Se: 0.0477 0.9523 0.8946
Se: 0.2821 0.7179 0.4702
Se: 0.3085 0.6915 0.1789
Se: 0.3557 0.6443 0.8123
Se: 0.4942 0.5058 0.5812
Se: 0.5058 0.4942 0.0812
Se: 0.6443 0.3557 0.3123
Se: 0.6915 0.3085 0.6789
Se: 0.7179 0.2821 0.9702
Se: 0.9523 0.0477 0.3946

The symmetry is No. 36. The total energy comes out at -4.30 eV per atom. The size of the total moment comes out at 0.000 Bohr magnetons per cell. As for the volume: 577 Å³/cell. For the density, the calculation gives 5.7 g/cm3. As for the formation energy (no corrections): -24.59 kcal/mol of atoms. As for the crystal system: orthorhombic.


(12)
BaSbPb2Se4: optimized geometry, PBE.

a b c (Å): 8.8853 8.8853 8.8853
angles (deg): 120.95 118.74 90.28
Atoms (fractional coordinates):
Ba: 0.5000 0.0000 0.0000
Ba: 0.5000 0.5000 0.5000
Sb: 0.0000 0.0000 0.0000
Sb: 0.5000 0.0000 0.5000
Pb: 0.0000 0.0000 0.5000
Pb: 0.0000 0.5000 0.0000
Pb: 0.0000 0.5000 0.5000
Pb: 0.5000 0.5000 0.0000
Se: 0.2327 0.2431 0.9896
Se: 0.2445 0.2281 0.4836
Se: 0.2445 0.7608 0.0164
Se: 0.2465 0.7569 0.4896
Se: 0.7535 0.2431 0.5104
Se: 0.7555 0.2392 0.9836
Se: 0.7555 0.7719 0.5164
Se: 0.7673 0.7569 0.0104

The symmetry is No. 74. The total energy comes out at -4.16 eV per atom. The size of the total moment comes out at 0.000 Bohr magnetons per cell. As for the volume: 497 Å³/cell. For the density, the calculation gives 6.6 g/cm3. As for the formation energy (no corrections): -17.01 kcal/mol of atoms. As for the crystal system: orthorhombic.